## YErMg2 (GGA-PBEsol)

Data for an optimized crystal structure of YErMg2. Values from VASP.

Computed properties:
DFT formation energy, kcal/mol of atoms: -1.75
Symmetry: Fm-3m (225)
E_tot, eV/atom: -3.87

Cell and atoms, written as Quantum ESPRESSO input:
```
&SYSTEM
  ibrav = 0, nat = 4, ntyp = 3
/
ATOMIC_SPECIES
Y 88.91 Y.upf
Mg 24.30 Mg.upf
Er 167.26 Er.upf
CELL_PARAMETERS angstrom
5.2827 0.0000 0.0000
2.6413 4.5749 0.0000
2.6413 1.5250 4.3133
ATOMIC_POSITIONS angstrom
Y 5.2827 3.0500 2.1566
Mg 7.9240 4.5749 3.2350
Mg 2.6413 1.5250 1.0783
Er 0.0000 0.0000 0.0000
```



## CsBaO2 (GGA-PBEsol)

Data for an optimized crystal structure of CsBaO2. Values from VASP.

Computed properties:
Formation energy (no corrections), meV per atom: -1483
Symmetry: I-42d (122)
E_tot, eV/atom: -4.88

Cell and atoms, written as Quantum ESPRESSO input:
```
&SYSTEM
  ibrav = 0, nat = 8, ntyp = 3
/
ATOMIC_SPECIES
Cs 132.91 Cs.upf
Ba 137.33 Ba.upf
O 16.00 O.upf
CELL_PARAMETERS angstrom
7.0242 0.0000 0.0000
-3.5121 5.5406 0.8612
0.0000 3.5065 6.0864
ATOMIC_POSITIONS angstrom
Cs 0.0000 3.6469 1.9522
Cs 3.5121 1.7533 3.0432
Ba 3.5121 5.4002 4.9954
Ba 0.0000 0.0000 0.0000
O 2.1573 5.4704 2.9283
O -2.1573 7.2236 5.9715
O 5.2681 3.7770 4.3669
O 1.7560 1.6232 0.6284
```